(1)
DFT (PBEsol) results for Cs3RhPb after structural relaxation.

a = 5.923 Å, b = 5.923 Å, c = 5.923 Å
α = 90.00°, β = 90.00°, γ = 90.00°
Sites, in units of the cell vectors:
Pb (0.500, 0.500, 0.500)
Cs (0.500, 0.000, 0.000)
Rh (0.000, 0.000, 0.000)
Cs (0.000, 0.000, 0.500)
Cs (0.000, 0.500, 0.000)

Properties
Energy (eV/cell): -12.36
Energy relative to the elements (eV/atom): 0.522

=====

(2)
DFT (PBEsol) results for RuPt4Se after structural relaxation.

a = 5.188 Å, b = 5.188 Å, c = 5.188 Å
α = 60.00°, β = 60.00°, γ = 60.00°
Sites, in units of the cell vectors:
Pt (0.625, 0.625, 0.126)
Pt (0.625, 0.126, 0.625)
Pt (0.126, 0.625, 0.625)
Ru (0.250, 0.250, 0.250)
Pt (0.625, 0.625, 0.625)
Se (0.000, 0.000, 0.000)

Properties
Formation energy without anion corrections (meV/atom): 614
Energy (eV/cell): -38.19

=====

(3)
DFT (PBEsol) results for Li2TaSb after structural relaxation.

a = 2.912 Å, b = 4.992 Å, c = 5.754 Å
α = 114.11°, β = 102.11°, γ = 95.72°
Sites, in units of the cell vectors:
Li (0.500, 0.500, 0.500)
Sb (0.500, 0.000, 0.000)
Li (0.000, 0.000, 0.500)
Ta (0.000, 0.500, 0.000)

Properties
Formation energy without anion corrections (meV/atom): 132
Energy (eV/cell): -20.52